one | DFT (PBE) results for Ta2CF after structural relaxation.

Unit cell a=4.048 b=4.048 c=4.048 alpha=60.00 beta=60.00 gamma=60.00
Fractional coordinates of all 4 atoms:
1 Ta 0.750 0.750 0.750
2 F 0.500 0.500 0.500
3 Ta 0.250 0.250 0.250
4 C 0.000 0.000 0.000

Computed properties:
**Mass density**: 13.91 g cm⁻³
**Symmetry**: No. 225
**Total moment**: 0.0 μB/f.u.



two | DFT (PBE) results for Ta2CF after structural relaxation.

Unit cell a=5.143 b=5.143 c=5.873 alpha=64.04 beta=64.04 gamma=90.00
Fractional coordinates of all 8 atoms:
1 Ta 0.579 0.125 0.250
2 Ta 0.375 0.421 0.750
3 F 0.750 0.250 0.500
4 Ta 0.171 0.625 0.250
5 C 0.500 0.500 0.000
6 F 0.000 0.000 0.000
7 Ta 0.875 0.829 0.750
8 C 0.250 0.750 0.500

Computed properties:
**Mass density**: 10.70 g cm⁻³
**Symmetry**: No. 122
**Total moment**: 0.0 μB/f.u.



Stability verdict: two, ahead by 0.024 eV/atom



one | DFT (PBE) results for Tc2C2F after structural relaxation.

Unit cell a=3.932 b=3.932 c=4.291 alpha=62.73 beta=62.73 gamma=90.00
Fractional coordinates of all 5 atoms:
1 Tc 0.250 0.750 0.500
2 F 0.000 0.000 0.000
3 C 0.390 0.390 0.219
4 C 0.610 0.610 0.781
5 Tc 0.750 0.250 0.500

Computed properties:
**Mass density**: 7.85 g cm⁻³
**Symmetry**: No. 139
**Total moment**: 0.0 μB/f.u.



two | DFT (PBE) results for Tc2C2F after structural relaxation.

Unit cell a=6.002 b=6.002 c=2.711 alpha=90.00 beta=90.00 gamma=90.00
Fractional coordinates of all 10 atoms:
1 C 0.371 0.871 0.000
2 Tc 0.156 0.656 0.500
3 C 0.871 0.629 0.000
4 C 0.129 0.371 0.000
5 Tc 0.344 0.156 0.500
6 C 0.629 0.129 0.000
7 F 0.500 0.500 0.000
8 Tc 0.844 0.344 0.500
9 Tc 0.656 0.844 0.500
10 F 0.000 0.000 0.000

Computed properties:
**Mass density**: 8.13 g cm⁻³
**Symmetry**: No. 127
**Total moment**: 0.0 μB/f.u.



Stability verdict: one, ahead by 0.252 eV/atom